Entry 1:
A relaxed Tb4Nd3Sc2 crystal. Source: Alexandria, functional GGA-PBE.

Cell lengths 6.7280, 11.4366, 11.4366 Å; angles 51.96, 59.39, 59.39 degrees
With the nearest neighbours (Å) after each atom.
Atoms (fractional coordinates):
Nd  0.2500  0.5072  0.4928  2 Nd 3.37, 6 Tb 3.47-3.59, 2 Sc 3.64
Tb  0.0068  0.8141  0.5646  4 Sc 3.39-3.57, 4 Nd 3.41-3.60, 2 Tb 3.50-3.70
Sc  0.5313  0.8805  0.4566  1 Sc 3.22, 6 Tb 3.39-3.57, 2 Nd 3.47-3.51
Tb  0.4932  0.4354  0.1859  4 Sc 3.39-3.57, 4 Nd 3.41-3.60, 2 Tb 3.50-3.70
Nd  0.4342  0.2013  0.1007  6 Tb 3.41-3.60, 3 Sc 3.47-3.61, 2 Nd 3.51
Sc  0.0313  0.4566  0.8805  1 Sc 3.22, 6 Tb 3.39-3.57, 2 Nd 3.47-3.51
Tb  0.9932  0.1859  0.4354  4 Sc 3.39-3.57, 4 Nd 3.41-3.60, 2 Tb 3.50-3.70
Tb  0.0143  0.7976  0.1731  2 Tb 3.25-3.55, 5 Nd 3.42-3.59, 2 Sc 3.45-3.50
Nd  0.7500  0.4928  0.5072  2 Nd 3.37, 6 Tb 3.47-3.59, 2 Sc 3.64
Tb  0.4857  0.8269  0.2024  2 Tb 3.25-3.55, 5 Nd 3.42-3.59, 2 Sc 3.45-3.50
Tb  0.5068  0.5646  0.8141  4 Sc 3.39-3.57, 4 Nd 3.41-3.60, 2 Tb 3.50-3.70
Nd  0.9342  0.1007  0.2013  6 Tb 3.41-3.60, 3 Sc 3.47-3.61, 2 Nd 3.51
Tb  0.5143  0.1731  0.7976  2 Tb 3.25-3.55, 5 Nd 3.42-3.59, 2 Sc 3.45-3.50
Tb  0.9857  0.2024  0.8269  2 Tb 3.25-3.55, 5 Nd 3.42-3.59, 2 Sc 3.45-3.50
Sc  0.4687  0.1195  0.5434  1 Sc 3.22, 6 Tb 3.39-3.57, 2 Nd 3.47-3.51
Nd  0.0658  0.8993  0.7987  6 Tb 3.41-3.60, 3 Sc 3.47-3.61, 2 Nd 3.51
Nd  0.5658  0.7987  0.8993  6 Tb 3.41-3.60, 3 Sc 3.47-3.61, 2 Nd 3.51
Sc  0.9687  0.5434  0.1195  1 Sc 3.22, 6 Tb 3.39-3.57, 2 Nd 3.47-3.51

Energy above the lowest structure with this stoichiometry in eV per atom: 0.0783
Total magnetic moment in μB/cell: 0.0

Entry 2:
A relaxed Tb5Nd2Sc12 crystal. Source: Alexandria, functional GGA-PBE.

Cell lengths 8.6649, 11.6684, 8.1865 Å; angles 132.21, 90.00, 111.80 degrees
With the nearest neighbours (Å) after each atom.
Atoms (fractional coordinates):
Sc  0.1838  0.7450  0.3981  6 Sc 3.15-3.52, 4 Tb 3.22-3.50, 1 Nd 3.49
Sc  0.5612  0.7450  0.3981  6 Sc 3.15-3.52, 4 Tb 3.22-3.50, 1 Nd 3.49
Sc  0.9121  0.8243  0.7039  2 Nd 3.16, 3 Tb 3.21-3.39, 5 Sc 3.34-3.51
Tb  0.7640  0.5281  0.1069  10 Sc 3.22-3.51, 2 Tb 3.48-3.56
Tb  0.2360  0.4719  0.8931  10 Sc 3.22-3.51, 2 Tb 3.48-3.56
Sc  0.9751  0.3052  0.0538  3 Sc 3.08-3.35, 1 Nd 3.21, 2 Tb 3.29-3.43
Tb  0.0000  0.0000  0.5000  10 Sc 3.32-3.50, 2 Tb 3.56
Sc  0.8162  0.2550  0.6019  6 Sc 3.15-3.52, 4 Tb 3.22-3.50, 1 Nd 3.49
Tb  0.2956  0.5912  0.5967  7 Sc 3.21-3.55, 2 Nd 3.48, 1 Tb 3.48
Sc  0.0879  0.1757  0.2961  2 Nd 3.16, 3 Tb 3.21-3.39, 5 Sc 3.34-3.51
Sc  0.6699  0.6948  0.9462  3 Sc 3.08-3.35, 1 Nd 3.21, 2 Tb 3.29-3.43
Sc  0.3301  0.3052  0.0538  3 Sc 3.08-3.35, 1 Nd 3.21, 2 Tb 3.29-3.43
Nd  0.6911  0.0000  0.0000  8 Sc 3.16-3.49, 1 Nd 3.31, 2 Tb 3.48
Sc  0.4478  0.8955  0.2301  7 Sc 3.15-3.26, 1 Tb 3.22, 2 Nd 3.26
Tb  0.7044  0.4088  0.4033  7 Sc 3.21-3.55, 2 Nd 3.48, 1 Tb 3.48
Sc  0.4388  0.2550  0.6019  6 Sc 3.15-3.52, 4 Tb 3.22-3.50, 1 Nd 3.49
Sc  0.5522  0.1045  0.7699  7 Sc 3.15-3.26, 1 Tb 3.22, 2 Nd 3.26
Nd  0.3089  0.0000  0.0000  8 Sc 3.16-3.49, 1 Nd 3.31, 2 Tb 3.48
Sc  0.0249  0.6948  0.9462  3 Sc 3.08-3.35, 1 Nd 3.21, 2 Tb 3.29-3.43

Total magnetic moment in μB/cell: 0.0

Entry 3:
A relaxed TbNdSc6 crystal. Source: Alexandria, functional GGA-PBE.

Cell lengths 5.3386, 6.8075, 6.8075 Å; angles 119.97, 90.00, 90.00 degrees
With the nearest neighbours (Å) after each atom.
Atoms (fractional coordinates):
Nd  0.5000  0.4164  0.5836  12 Sc 3.35-3.41
Tb  0.0000  0.0835  0.9165  12 Sc 3.34-3.41
Sc  0.0000  0.0734  0.4115  8 Sc 3.28-3.51, 2 Nd 3.35, 2 Tb 3.40
Sc  0.0000  0.5885  0.9266  8 Sc 3.28-3.51, 2 Nd 3.35, 2 Tb 3.40
Sc  0.5000  0.9122  0.5751  8 Sc 3.28-3.49, 2 Tb 3.34, 2 Nd 3.40
Sc  0.5000  0.9126  0.0874  8 Sc 3.28-3.49, 2 Tb 3.34, 2 Nd 3.41
Sc  0.5000  0.4249  0.0878  8 Sc 3.28-3.49, 2 Tb 3.34, 2 Nd 3.40
Sc  0.0000  0.5881  0.4119  8 Sc 3.28-3.50, 2 Nd 3.35, 2 Tb 3.41

Total magnetic moment in μB/cell: 1.6

The E_form results, record by record, are as follows: 1.08; 2.69; 0.23 eV per formula unit.